VAuO2 | GGA+U | optimized geometry

Calculated values
E = -6.403 eV per atom
DOS at the Fermi energy = 1.32 states/eV per cell
Calculated density = 7.03 Mg/m³

POSCAR file:
```
VAuO2
1.0
2.8500 0.0000 0.0000
-0.0022 4.9683 0.0000
-0.9839 -2.3180 9.3405
V Au O
2 2 4
Direct
0.0000 0.0000 0.0000
0.4667 0.4549 0.9034
0.1972 0.2154 0.4511
0.6971 0.7153 0.4509
0.5219 0.2682 0.0628
0.5215 0.7904 0.0628
0.9449 0.1868 0.8406
0.9452 0.6645 0.8406
```